Material: K2Tl3WS6
Method: DFT, GGA-PBE
State: relaxed

Unit cell a=7.6863 b=7.6863 c=7.0465 alpha=100.44 beta=100.44 gamma=122.06
Fractional coordinates of all 12 atoms:
1 S 0.6686 0.9197 0.7831
2 S 0.9197 0.6686 0.7831
3 S 0.1994 0.1994 0.7903
4 S 0.8006 0.8006 0.2097
5 S 0.0803 0.3314 0.2169
6 S 0.3314 0.0803 0.2169
7 Tl 0.5000 0.5000 0.5000
8 Tl 0.1475 0.8525 0.5000
9 Tl 0.8525 0.1475 0.5000
10 W 0.0000 0.0000 0.0000
11 K 0.3275 0.6725 0.0000
12 K 0.6725 0.3275 0.0000

Calculated values
uncorrected formation energy: -0.592 eV per atom
calculated volume: 27.266 Å³ per atom
uncorrected energy: -54.11 eV per cell
space-group type: No. 12


Material: K2Zr3TlS8
Method: DFT, GGA-PBE
State: relaxed

Unit cell a=7.7161 b=7.7161 c=9.0665 alpha=64.82 beta=64.82 gamma=60.00
Fractional coordinates of all 14 atoms:
1 S 0.3014 0.7411 0.2163
2 S 0.7411 0.7411 0.2163
3 S 0.2666 0.2666 0.2003
4 S 0.7411 0.3014 0.2163
5 S 0.2225 0.2225 0.8515
6 S 0.7034 0.2225 0.8515
7 S 0.2225 0.7034 0.8515
8 S 0.7203 0.7203 0.8390
9 Zr 0.4944 0.4944 0.0212
10 Zr 0.4944 0.9901 0.0212
11 Zr 0.9901 0.4944 0.0212
12 K 0.4856 0.4856 0.5432
13 K 0.1376 0.1376 0.5871
14 Tl 0.9715 0.9715 0.0854

Calculated values
uncorrected formation energy: -1.296 eV per atom
calculated volume: 29.082 Å³ per atom
uncorrected energy: -81.37 eV per cell
space-group type: No. 160


Material: KZrTlS3
Method: DFT, GGA-PBE
State: relaxed

Unit cell a=6.7202 b=7.6803 c=8.4962 alpha=63.13 beta=83.87 gamma=76.34
Fractional coordinates of all 12 atoms:
1 S 0.0020 0.2552 0.9126
2 S 0.2500 0.7917 0.4166
3 S 0.4980 0.8322 0.9126
4 S 0.5020 0.1678 0.0874
5 S 0.7500 0.2083 0.5834
6 S 0.9980 0.7448 0.0874
7 Tl 0.7500 0.7886 0.4228
8 Tl 0.2500 0.2114 0.5772
9 Zr 0.7500 0.0506 0.8988
10 Zr 0.2500 0.9494 0.1012
11 K 0.7500 0.4102 0.1796
12 K 0.2500 0.5898 0.8204

Calculated values
uncorrected formation energy: -1.183 eV per atom
calculated volume: 31.674 Å³ per atom
uncorrected energy: -62.98 eV per cell
space-group type: No. 15


Material: K2ZrTlS4
Method: DFT, GGA-PBE
State: relaxed

Unit cell a=3.9391 b=7.6180 c=7.2365 alpha=72.61 beta=90.00 gamma=90.00
Fractional coordinates of all 8 atoms:
1 S 0.0000 0.3010 0.2687
2 S 0.0000 0.6990 0.7313
3 S 0.5000 0.3016 0.7072
4 S 0.5000 0.6984 0.2928
5 K 0.0000 0.0000 0.0000
6 K 0.5000 0.0000 0.5000
7 Zr 0.0000 0.5000 0.5000
8 Tl 0.5000 0.5000 0.0000

Calculated values
uncorrected formation energy: -1.111 eV per atom
calculated volume: 25.903 Å³ per atom
uncorrected energy: -38.50 eV per cell
space-group type: No. 10


Material: KTm5S8
Method: DFT, GGA-PBE
State: relaxed

Unit cell a=3.9352 b=9.5274 c=10.2863 alpha=104.71 beta=101.03 gamma=90.00
Fractional coordinates of all 14 atoms:
1 S 0.7716 0.8574 0.5432
2 S 0.1700 0.4915 0.3400
3 S 0.8301 0.5088 0.6603
4 S 0.0784 0.8042 0.1569
5 S 0.2284 0.1428 0.4567
6 S 0.5796 0.1417 0.1593
7 S 0.4204 0.8584 0.8407
8 S 0.9215 0.1957 0.8431
9 Tm 0.6548 0.9438 0.3096
10 Tm 0.0000 0.0000 0.0000
11 Tm 0.3451 0.0562 0.6902
12 Tm 0.7029 0.3393 0.4059
13 Tm 0.2972 0.6609 0.5943
14 K 0.4999 0.4992 0.9997

Calculated values
uncorrected formation energy: -2.006 eV per atom
calculated volume: 26.118 Å³ per atom
uncorrected energy: -84.55 eV per cell
space-group type: No. 8


Material: KTmS2
Method: DFT, GGA-PBE
State: relaxed

Unit cell a=3.9787 b=3.9787 c=7.8317 alpha=75.28 beta=75.28 gamma=60.00
Fractional coordinates of all 4 atoms:
1 K 0.4980 0.4980 0.5059
2 Tm 0.6674 0.6674 0.9979
3 S 0.2680 0.2680 0.1960
4 S 0.0666 0.0666 0.8002

Calculated values
uncorrected formation energy: -1.865 eV per atom
calculated volume: 25.661 Å³ per atom
uncorrected energy: -21.28 eV per cell
space-group type: No. 160


Material: K4TmU3S8
Method: DFT, GGA-PBE
State: relaxed

Unit cell a=8.0599 b=8.7626 c=8.0598 alpha=117.38 beta=120.00 gamma=90.00
Fractional coordinates of all 16 atoms:
1 K 0.5000 0.0000 0.0000
2 K 0.5000 0.0000 0.5000
3 K 0.0000 0.0000 0.0000
4 K 0.0000 0.0000 0.5000
5 S 0.2321 0.7029 0.4643
6 S 0.7349 0.7045 0.4697
7 S 0.2613 0.2971 0.0292
8 S 0.2321 0.7029 0.9708
9 S 0.2651 0.2955 0.5303
10 S 0.7679 0.2971 0.5357
11 S 0.7387 0.7029 0.9708
12 S 0.7679 0.2971 0.0292
13 U 0.5000 0.5000 0.5000
14 U 0.0000 0.5000 0.5000
15 U 0.5000 0.5000 0.0000
16 Tm 0.0000 0.5000 0.0000

Calculated values
uncorrected formation energy: -1.496 eV per atom
calculated volume: 26.106 Å³ per atom
uncorrected energy: -99.68 eV per cell
space-group type: No. 166


Material: KTmUS4
Method: DFT, GGA-PBE
State: relaxed

Unit cell a=8.4389 b=8.2966 c=8.2635 alpha=119.87 beta=90.00 gamma=120.57
Fractional coordinates of all 14 atoms:
1 S 0.7334 0.4669 0.6929
2 S 0.3099 0.0393 0.2696
3 S 0.2706 0.9607 0.7304
4 S 0.2666 0.5331 0.7261
5 S 0.7334 0.4669 0.2739
6 S 0.6901 0.9607 0.7304
7 S 0.7294 0.0393 0.2696
8 S 0.2666 0.5331 0.3071
9 Tm 0.5000 0.0000 0.0000
10 Tm 0.5000 0.0000 0.5000
11 K 0.1193 0.2385 0.8693
12 K 0.8807 0.7615 0.1307
13 U 0.0000 0.5000 0.5000
14 U 0.5000 0.5000 0.5000

Calculated values
uncorrected formation energy: -1.608 eV per atom
calculated volume: 29.026 Å³ per atom
uncorrected energy: -89.24 eV per cell
space-group type: No. 74


Repeat the fourth record exactly.
Material: K2ZrTlS4
Method: DFT, GGA-PBE
State: relaxed

Unit cell a=3.9391 b=7.6180 c=7.2365 alpha=72.61 beta=90.00 gamma=90.00
Fractional coordinates of all 8 atoms:
1 S 0.0000 0.3010 0.2687
2 S 0.0000 0.6990 0.7313
3 S 0.5000 0.3016 0.7072
4 S 0.5000 0.6984 0.2928
5 K 0.0000 0.0000 0.0000
6 K 0.5000 0.0000 0.5000
7 Zr 0.0000 0.5000 0.5000
8 Tl 0.5000 0.5000 0.0000

Calculated values
uncorrected formation energy: -1.111 eV per atom
calculated volume: 25.903 Å³ per atom
uncorrected energy: -38.50 eV per cell
space-group type: No. 10


Question: calculated volume of number 6 (KTmS2)?
Answer: 25.661 Å³ per atom


Question: Which value of uncorrected formation energy does entry 8 give?
Answer: -1.608 eV per atom


Question: calculated volume of number 3 (KZrTlS3)?
Answer: 31.674 Å³ per atom